A relaxed Y2HoTlO6 crystal. Source: Alexandria, functional GGA-PBE.

Calculated values
VASP energy	-77.55	eV/cell
calculated volume	149.6	Å³/f.u.
uncorrected formation energy	-2.7929	eV/atom

Geometry as POSCAR:
```
Y2HoTlO6
1.0
5.817 0.000 0.000
2.908 5.037 0.000
2.908 1.679 5.105
Y Ho Tl O
2 1 1 6
Cartesian
5.817 3.358 2.224
2.908 1.679 4.723
8.725 5.037 2.943
2.908 1.679 0.425
4.986 1.464 1.295
4.592 5.025 1.295
7.872 3.586 1.295
6.693 4.860 3.802
6.679 1.849 3.802
4.079 3.367 3.802
```

A relaxed BaBe2Tl crystal. Source: Alexandria, functional GGA-PBE.

Calculated values
energy relative to the lowest polymorph listed for this composition	360	meV per atom
VASP energy	-9.32	eV/cell
calculated volume	95.9	Å³/f.u.
calculated formation energy	0.61	eV per atom

Geometry as POSCAR:
```
BaBe2Tl
1.0
3.644 0.080 0.000
-0.084 3.644 0.000
0.000 0.000 7.220
Be Tl Ba
2 1 1
Cartesian
0.000 0.000 0.669
0.000 0.000 2.941
1.780 1.862 1.805
1.780 1.862 5.415
```

A relaxed Ni2AgIr crystal. Source: Alexandria, functional GGA-PBE.

Calculated values
energy relative to the lowest polymorph listed for this composition	82	meV per atom
VASP energy	-22.41	eV/cell
calculated volume	53.9	Å³/f.u.
calculated formation energy	0.22	eV per atom

Geometry as POSCAR:
```
Ni2AgIr
1.0
6.155 0.001 0.003
-2.495 3.823 0.000
1.166 0.762 2.291
Ag Ir Ni
1 1 2
Cartesian
-0.664 2.292 1.146
1.830 1.912 0.002
0.000 0.000 0.000
3.660 0.381 1.147
```

A relaxed UTeN crystal. Source: Alexandria, functional GGA-PBE.

Calculated values
energy relative to the lowest polymorph listed for this composition	521	meV per atom
VASP energy	-49.70	eV/cell
calculated volume	57.6	Å³/f.u.
uncorrected formation energy	-0.6984	eV/atom

Geometry as POSCAR:
```
UTeN
1.0
-0.804 0.841 3.713
-3.670 -1.180 -0.528
4.216 -6.893 0.435
U Te N
2 2 2
Cartesian
0.327 -1.166 0.335
-0.585 -6.066 3.285
1.237 -4.414 1.267
-1.495 -2.818 2.353
-0.402 0.420 1.856
-1.835 -0.590 -0.264
```

A relaxed Ce2SmHoSb5 crystal. Source: Alexandria, functional GGA-PBE.

Calculated values
VASP energy	-43.56	eV/cell
calculated volume	336.4	Å³/f.u.
uncorrected formation energy	-0.1980	eV/atom

Geometry as POSCAR:
```
Ce2SmHoSb5
1.0
-2.158 -4.456 -2.119
1.438 -2.780 4.382
-10.165 2.564 4.961
Ce Sm Ho Sb
2 1 1 5
Cartesian
-3.267 -2.885 2.550
-7.618 -1.787 4.674
-5.082 1.282 2.481
0.000 0.000 0.000
-4.364 -0.108 4.672
-6.162 -0.946 1.421
-7.676 1.936 3.747
-2.488 0.628 1.215
-0.360 -3.618 1.132
```

A relaxed MgZr3B crystal. Source: Alexandria, functional GGA-PBE.

Calculated values
energy relative to the lowest polymorph listed for this composition	0	meV per atom
VASP energy	-34.69	eV/cell
calculated volume	104.0	Å³/f.u.
calculated formation energy	-0.16	eV per atom

Geometry as POSCAR:
```
MgZr3B
1.0
-0.668 2.847 -3.683
2.310 -3.027 -2.759
-4.041 -2.201 -0.968
Mg B Zr
1 1 3
Cartesian
-1.200 -1.191 -3.705
0.000 0.000 0.000
1.155 -1.514 -1.379
-2.021 -1.100 -0.484
-0.334 1.423 -1.841
```

A relaxed CaCdHPd2 crystal. Source: Alexandria, functional GGA-PBE.

Calculated values
energy relative to the lowest polymorph listed for this composition	0	meV per atom
VASP energy	-18.59	eV/cell
calculated volume	79.1	Å³/f.u.

Geometry as POSCAR:
```
CaCdHPd2
1.0
-4.159 -0.298 0.697
0.751 -1.096 4.013
-0.107 4.265 1.185
H Ca Pd Cd
1 1 2 1
Cartesian
0.000 0.000 0.000
-0.054 2.132 0.593
0.375 -0.548 2.007
-2.080 -0.149 0.348
-1.758 1.435 2.948
```

A relaxed Pr7NdEr4 crystal. Source: Alexandria, functional GGA-PBE.

Calculated values
energy relative to the lowest polymorph listed for this composition	195	meV per atom
VASP energy	-54.07	eV/cell
calculated volume	419.0	Å³/f.u.
calculated formation energy	0.20	eV per atom

Geometry as POSCAR:
```
Pr7NdEr4
1.0
6.061 0.000 0.000
3.031 9.119 1.700
3.031 1.820 7.920
Pr Nd Er
7 1 4
Cartesian
9.092 9.089 5.797
3.031 1.849 3.823
3.031 5.461 3.135
9.092 5.478 6.484
6.061 8.322 7.704
3.031 0.000 0.000
6.061 2.617 1.916
0.000 0.000 0.000
6.061 3.765 4.976
6.061 7.173 4.643
6.061 5.799 1.366
6.061 5.140 8.254
```

Computed total magnetic moment (μB per cell) in order:
0.0 0.0 1.4 0.0 1.8 0.0 0.0 0.2